Density functional theory data (PBE) for an optimized crystal structure of Pm2SmEr3Te6.

Output
- E_form (uncorrected): -1.311 eV/atom
- Spin magnetization: 0.0 μB per formula unit
- Fermi-level density of states: 0.494 states/eV/atom

Cell lengths 19.2566, 4.3388, 8.8849 Å; angles 90.00, 104.96, 90.00 degrees
Closest atoms and distances in Å follow each position.
Space group C2/m (No. 12)
Unique sites:
Pm 0.1670 0.0000 0.3337 [4 per cell]  6 Te 3.15-3.17
Sm 0.0000 0.5000 0.0000 [2 per cell]  6 Te 3.15
Er 0.0000 0.5000 0.5000 [2 per cell]  6 Te 3.04-3.06
Er 0.1673 0.0000 0.8332 [4 per cell]  6 Te 3.05-3.06
Te 0.0030 0.0000 0.7442 [4 per cell]  3 Er 3.06, 2 Sm 3.15, 1 Pm 3.17
Te 0.1636 0.5000 0.5903 [4 per cell]  3 Er 3.04-3.05, 3 Pm 3.15-3.16
Te 0.1688 0.5000 0.0756 [4 per cell]  3 Er 3.05, 1 Sm 3.15, 2 Pm 3.16

Density functional theory data (PBE) for an optimized crystal structure of Ac8Pr6Nd.

Output
- Formation enthalpy at 0 K: 5.050 kcal/mol of atoms
- Spin magnetization: 0.0 μB per formula unit
- Fermi-level density of states: 1.565 states/eV/atom

Cell lengths 10.2160, 10.2160, 21.5824 Å; angles 90.00, 90.00, 120.00 degrees
Closest atoms and distances in Å follow each position.
Space group R-3 (No. 148, hexagonal axes)
Unique sites:
Ac 0.0000 0.0000 0.2356 [6 per cell]  6 Pr 3.61-3.89, 3 Ac 3.90
Ac 0.0124 0.3001 0.6238 [18 per cell]  3 Pr 3.55-3.74, 2 Ac 3.78-3.90
Pr 0.0010 0.6947 0.8714 [18 per cell]  5 Ac 3.55-3.89, 3 Pr 3.55-3.92, 1 Nd 3.65
Nd 0.0000 0.0000 0.5000 [3 per cell]  6 Pr 3.65, 6 Ac 4.02

Density functional theory data (PBE) for an optimized crystal structure of TiGeAsSe2.

Output
- E_form (uncorrected): 0.551 eV/atom
- Spin magnetization: 0.0 μB per formula unit
- Fermi-level density of states: 1.166 states/eV/atom

Cell lengths 4.8984, 4.8984, 4.8737 Å; angles 90.00, 90.00, 90.00 degrees
Closest atoms and distances in Å follow each position.
Space group P4/mmm (No. 123)
Unique sites:
Ti 0.0000 0.0000 0.0000 [1 per cell]  8 Se 3.45, 4 As 3.46
Ge 0.5000 0.5000 0.5000 [1 per cell]  2 As 2.44, 4 Se 2.45
As 0.5000 0.5000 0.0000 [1 per cell]  2 Ge 2.44
Se 0.0000 0.5000 0.5000 [2 per cell]  2 Ge 2.45

Density functional theory data (PBE) for an optimized crystal structure of Pm4ZnPt3.

Output
- Formation enthalpy at 0 K: -22.336 kcal/mol of atoms
- Spin magnetization: 0.0 μB per formula unit
- Fermi-level density of states: 0.749 states/eV/atom

Cell lengths 3.9084, 4.5434, 10.9490 Å; angles 90.00, 90.00, 90.00 degrees
Closest atoms and distances in Å follow each position.
Space group Pmm2 (No. 25)
Unique sites:
Pm 0.0000 0.0000 0.0000 [1 per cell]  6 Pt 3.03-3.10, 1 Zn 3.23
Pm 0.0000 0.5000 0.2681 [1 per cell]  7 Pt 3.04-3.17
Pm 0.5000 0.0000 0.4857 [1 per cell]  5 Pt 2.91-3.10, 2 Zn 3.10
Pm 0.5000 0.5000 0.7712 [1 per cell]  3 Pt 2.98-3.05, 4 Zn 3.08
Zn 0.0000 0.0000 0.7049 [1 per cell]  2 Pt 2.79, 6 Pm 3.08-3.10
Pt 0.0000 0.5000 0.5572 [1 per cell]  2 Zn 2.79, 6 Pm 3.05-3.10
Pt 0.5000 0.0000 0.2196 [1 per cell]  7 Pm 2.91-3.10, 2 Pt 2.98
Pt 0.5000 0.5000 0.0434 [1 per cell]  2 Pt 2.98, 7 Pm 2.98-3.14

Density functional theory data (PBE) for an optimized crystal structure of Te2IrWI.

Output
- E_form (uncorrected): 1.464 eV/atom
- Spin magnetization: 3.1 μB per formula unit
- Fermi-level density of states: 0.956 states/eV/atom

Cell lengths 5.2495, 5.2495, 5.2502 Å; angles 90.00, 90.00, 90.00 degrees
Closest atoms and distances in Å follow each position.
Space group P4/mmm (No. 123)
Unique sites:
Te 0.0000 0.5000 0.0000 [2 per cell]  2 Ir 2.62
Ir 0.0000 0.0000 0.0000 [1 per cell]  4 Te 2.62, 2 I 2.63
W 0.5000 0.5000 0.5000 [1 per cell]  4 I 3.71, 8 Te 3.71
I 0.0000 0.0000 0.5000 [1 per cell]  2 Ir 2.63

Density functional theory data (PBE) for an optimized crystal structure of LiLaCeIn.

Output
- Formation enthalpy at 0 K: -3.321 kcal/mol of atoms
- Spin magnetization: 1.1 μB per formula unit
- Fermi-level density of states: 2.902 states/eV/atom

Cell lengths 7.7458, 7.7458, 7.7458 Å; angles 90.00, 90.00, 90.00 degrees
Closest atoms and distances in Å follow each position.
Space group F-43m (No. 216)
Unique sites:
Li 0.0000 0.0000 0.0000 [4 per cell]  4 La 3.35, 4 Ce 3.35
La 0.2500 0.2500 0.2500 [4 per cell]  4 In 3.35, 4 Li 3.35
Ce 0.2500 0.2500 0.7500 [4 per cell]  4 In 3.35, 4 Li 3.35
In 0.0000 0.0000 0.5000 [4 per cell]  4 La 3.35, 4 Ce 3.35

Density functional theory data (PBE) for an optimized crystal structure of ZrCoMo2.

Output
- Formation enthalpy at 0 K: 0.266 kcal/mol of atoms
- Spin magnetization: 1.2 μB per formula unit
- Fermi-level density of states: 0.596 states/eV/atom

Cell lengths 6.3474, 6.3474, 6.3474 Å; angles 90.00, 90.00, 90.00 degrees
Closest atoms and distances in Å follow each position.
Space group F-43m (No. 216)
Unique sites:
Zr 0.0000 0.0000 0.0000 [4 per cell]  4 Mo 2.75, 4 Co 2.75
Co 0.2500 0.2500 0.2500 [4 per cell]  4 Zr 2.75, 4 Mo 2.75
Mo 0.0000 0.0000 0.5000 [4 per cell]  4 Co 2.75, 4 Mo 2.75
Mo 0.2500 0.2500 0.7500 [4 per cell]  4 Zr 2.75, 4 Mo 2.75

Density functional theory data (PBE) for an optimized crystal structure of Li2LaAuN.

Output
- E_form (uncorrected): -0.618 eV/atom
- Spin magnetization: 0.0 μB per formula unit
- Fermi-level density of states: 0.473 states/eV/atom

Cell lengths 4.3735, 4.3735, 4.8895 Å; angles 90.00, 90.00, 90.00 degrees
Closest atoms and distances in Å follow each position.
Space group P4/mmm (No. 123)
Unique sites:
Li 0.0000 0.5000 0.0000 [2 per cell]  2 N 2.19
La 0.0000 0.0000 0.5000 [1 per cell]  2 N 2.44
Au 0.5000 0.5000 0.5000 [1 per cell]  4 La 3.09, 8 Li 3.28
N 0.0000 0.0000 0.0000 [1 per cell]  4 Li 2.19, 2 La 2.44

- spin magnetization of number 2 (Ac8Pr6Nd)?
  0.0 μB per formula unit

- spin magnetization of number 6 (LiLaCeIn)?
  1.1 μB per formula unit

- Which formula does entry 7 have?
  ZrCoMo2

- Which value of Fermi-level density of states does entry 6 give?
  2.902 states/eV/atom